[1]
Computed, not measured: LiCoCl2 at its PBEsol-relaxed geometry at the SCAN level of DFT. Values from VASP.

Results
**Energy relative to the lowest polymorph listed for this composition**: 287 meV per atom
**SG**: Pmmm (47)

The structure in Quantum ESPRESSO input format:
```
&SYSTEM
  ibrav = 0, nat = 4, ntyp = 3
/
ATOMIC_SPECIES
Li 6.94 Li.upf
Co 58.93 Co.upf
Cl 35.45 Cl.upf
ATOMIC_POSITIONS angstrom
Li 0.000 0.000 0.000
Co 0.000 1.666 3.436
Cl 1.642 0.000 3.436
Cl 1.642 1.666 0.000
CELL_PARAMETERS angstrom
3.284 0.000 0.000
0.000 3.332 0.000
0.000 0.000 6.872
```

***

[2]
Computed, not measured: LiCoCl2 at its PBEsol-relaxed geometry at the SCAN level of DFT. Values from VASP.

Results
**Energy relative to the lowest polymorph listed for this composition**: 0 meV per atom
**SG**: Pm (6)

The structure in Quantum ESPRESSO input format:
```
&SYSTEM
  ibrav = 0, nat = 4, ntyp = 3
/
ATOMIC_SPECIES
Li 6.94 Li.upf
Co 58.93 Co.upf
Cl 35.45 Cl.upf
ATOMIC_POSITIONS angstrom
Li 0.000 0.000 0.000
Co 0.816 2.397 2.377
Cl 1.203 0.000 2.061
Cl 3.357 2.397 0.247
CELL_PARAMETERS angstrom
3.663 0.000 0.000
0.000 4.794 0.000
-0.643 0.000 3.612
```

***

[3]
Computed, not measured: LiCoPCl2 at its PBEsol-relaxed geometry at the SCAN level of DFT. Values from VASP.

Results
**SG**: P4/mmm (123)

The structure in Quantum ESPRESSO input format:
```
&SYSTEM
  ibrav = 0, nat = 5, ntyp = 4
/
ATOMIC_SPECIES
Li 6.94 Li.upf
Co 58.93 Co.upf
P 30.97 P.upf
Cl 35.45 Cl.upf
ATOMIC_POSITIONS angstrom
Li 0.000 0.000 0.000
Co 2.138 2.138 2.405
P 0.000 0.000 2.405
Cl 0.000 2.138 0.000
Cl 2.138 0.000 0.000
CELL_PARAMETERS angstrom
4.276 0.000 0.000
0.000 4.276 0.000
0.000 0.000 4.810
```

***

[4]
Computed, not measured: MgCoCl at its PBEsol-relaxed geometry at the SCAN level of DFT. Values from VASP.

Results
**Energy relative to the lowest polymorph listed for this composition**: 310 meV per atom
**SG**: P-6m2 (187)

The structure in Quantum ESPRESSO input format:
```
&SYSTEM
  ibrav = 0, nat = 3, ntyp = 3
/
ATOMIC_SPECIES
Mg 24.30 Mg.upf
Co 58.93 Co.upf
Cl 35.45 Cl.upf
ATOMIC_POSITIONS angstrom
Mg 0.000 0.000 0.000
Co 1.916 1.106 1.709
Cl 0.000 2.213 1.709
CELL_PARAMETERS angstrom
3.833 0.000 0.000
-1.916 3.319 0.000
0.000 0.000 3.418
```

***

[5]
Computed, not measured: MgCoCl at its PBEsol-relaxed geometry at the SCAN level of DFT. Values from VASP.

Results
**Energy relative to the lowest polymorph listed for this composition**: 0 meV per atom
**SG**: Fmm2 (42)

The structure in Quantum ESPRESSO input format:
```
&SYSTEM
  ibrav = 0, nat = 3, ntyp = 3
/
ATOMIC_SPECIES
Mg 24.30 Mg.upf
Co 58.93 Co.upf
Cl 35.45 Cl.upf
ATOMIC_POSITIONS angstrom
Mg 0.000 0.000 0.000
Co 1.582 2.647 7.744
Cl 1.582 2.647 3.760
CELL_PARAMETERS angstrom
0.000 2.647 5.768
1.582 0.000 5.768
1.582 2.647 0.000
```

***

[6]
Computed, not measured: MgCoCl2 at its PBEsol-relaxed geometry at the SCAN level of DFT. Values from VASP.

Results
**Energy relative to the lowest polymorph listed for this composition**: 27 meV per atom
**SG**: Imm2 (44)

The structure in Quantum ESPRESSO input format:
```
&SYSTEM
  ibrav = 0, nat = 4, ntyp = 3
/
ATOMIC_SPECIES
Mg 24.30 Mg.upf
Co 58.93 Co.upf
Cl 35.45 Cl.upf
ATOMIC_POSITIONS angstrom
Mg 0.000 0.000 0.000
Co 0.000 3.153 2.042
Cl 1.570 0.000 1.815
Cl 0.000 0.000 4.864
CELL_PARAMETERS angstrom
-1.570 3.153 4.308
1.570 -3.153 4.308
1.570 3.153 -4.308
```

***

[7]
Computed, not measured: MgCoCl4 at its PBEsol-relaxed geometry at the SCAN level of DFT. Values from VASP.

Results
**SG**: F-43m (216)

The structure in Quantum ESPRESSO input format:
```
&SYSTEM
  ibrav = 0, nat = 6, ntyp = 3
/
ATOMIC_SPECIES
Mg 24.30 Mg.upf
Co 58.93 Co.upf
Cl 35.45 Cl.upf
ATOMIC_POSITIONS angstrom
Mg 0.000 0.000 0.000
Co 6.048 6.048 6.048
Cl 3.027 3.027 3.027
Cl 5.036 5.036 3.027
Cl 5.036 3.027 5.036
Cl 3.027 5.036 5.036
CELL_PARAMETERS angstrom
0.000 4.032 4.032
4.032 0.000 4.032
4.032 4.032 0.000
```

***

[8]
Computed, not measured: Mg4CoCl at its PBEsol-relaxed geometry at the SCAN level of DFT. Values from VASP.

Results
**SG**: F-43m (216)

The structure in Quantum ESPRESSO input format:
```
&SYSTEM
  ibrav = 0, nat = 6, ntyp = 3
/
ATOMIC_SPECIES
Mg 24.30 Mg.upf
Co 58.93 Co.upf
Cl 35.45 Cl.upf
ATOMIC_POSITIONS angstrom
Mg 2.994 2.994 2.994
Mg 4.967 4.967 2.994
Mg 4.967 2.994 4.967
Mg 2.994 4.967 4.967
Co 5.970 5.970 5.970
Cl 0.000 0.000 0.000
CELL_PARAMETERS angstrom
0.000 3.980 3.980
3.980 0.000 3.980
3.980 3.980 0.000
```

***

[9]
Computed, not measured: MgCoCl at its PBEsol-relaxed geometry at the SCAN level of DFT. Values from VASP.

Results
**Energy relative to the lowest polymorph listed for this composition**: 739 meV per atom
**SG**: F-43m (216)

The structure in Quantum ESPRESSO input format:
```
&SYSTEM
  ibrav = 0, nat = 3, ntyp = 3
/
ATOMIC_SPECIES
Mg 24.30 Mg.upf
Co 58.93 Co.upf
Cl 35.45 Cl.upf
ATOMIC_POSITIONS angstrom
Mg 0.000 0.000 0.000
Co 1.455 1.455 1.455
Cl 2.910 2.910 2.910
CELL_PARAMETERS angstrom
0.000 2.910 2.910
2.910 0.000 2.910
2.910 2.910 0.000
```

***

[10]
Computed, not measured: MgCoCl2 at its PBEsol-relaxed geometry at the SCAN level of DFT. Values from VASP.

Results
**Energy relative to the lowest polymorph listed for this composition**: 185 meV per atom
**SG**: Pmmm (47)

The structure in Quantum ESPRESSO input format:
```
&SYSTEM
  ibrav = 0, nat = 4, ntyp = 3
/
ATOMIC_SPECIES
Mg 24.30 Mg.upf
Co 58.93 Co.upf
Cl 35.45 Cl.upf
ATOMIC_POSITIONS angstrom
Mg 0.000 0.000 0.000
Co 1.577 0.000 2.828
Cl 0.000 1.911 2.828
Cl 1.577 1.911 0.000
CELL_PARAMETERS angstrom
3.154 0.000 0.000
0.000 3.821 0.000
0.000 0.000 5.655
```

***

[11]
Computed, not measured: MgCoCl3 at its PBEsol-relaxed geometry at the SCAN level of DFT. Values from VASP.

Results
**SG**: Pm-3m (221)

The structure in Quantum ESPRESSO input format:
```
&SYSTEM
  ibrav = 0, nat = 5, ntyp = 3
/
ATOMIC_SPECIES
Mg 24.30 Mg.upf
Co 58.93 Co.upf
Cl 35.45 Cl.upf
ATOMIC_POSITIONS angstrom
Mg 0.000 0.000 0.000
Co 2.396 2.396 2.396
Cl 0.000 0.000 2.396
Cl 0.000 2.396 0.000
Cl 2.396 0.000 0.000
CELL_PARAMETERS angstrom
4.793 0.000 0.000
0.000 4.793 0.000
0.000 0.000 4.793
```

***

[12]
Computed, not measured: MgCoCl2 at its PBEsol-relaxed geometry at the SCAN level of DFT. Values from VASP.

Results
**Energy relative to the lowest polymorph listed for this composition**: 113 meV per atom
**SG**: Cmmm (65)

The structure in Quantum ESPRESSO input format:
```
&SYSTEM
  ibrav = 0, nat = 4, ntyp = 3
/
ATOMIC_SPECIES
Mg 24.30 Mg.upf
Co 58.93 Co.upf
Cl 35.45 Cl.upf
ATOMIC_POSITIONS angstrom
Mg 0.000 0.000 0.000
Co 0.000 0.000 3.924
Cl 1.610 0.000 2.282
Cl 1.610 0.000 5.567
CELL_PARAMETERS angstrom
1.610 -2.989 0.000
1.610 2.989 0.000
0.000 0.000 7.848
```

***

| no. | formation energy without anion corrections (meV/atom) |
| --- | --- |
| 1 | -840 |
| 2 | -1127 |
| 3 | 316 |
| 4 | 130 |
| 5 | -179 |
| 6 | -562 |
| 7 | 467 |
| 8 | 375 |
| 9 | 559 |
| 10 | -405 |
| 11 | -731 |
| 12 | -477 |